The following is a DFT calculation (PBE with a Hubbard U) of crystalline CsNa2CrO4 at its relaxed geometry.

Calculated values
M_tot: 1.0 μB per formula unit
E_tot: -5.479 eV/atom
space group: I-42m (121)

The structure in POSCAR format:
```
CsNa2CrO4
1.0
-2.964 2.964 3.944
2.964 -2.964 3.944
2.964 2.964 -3.944
Cs Na Cr O
1 2 1 4
direct
0.000 0.000 0.000
0.250 0.750 0.500
0.750 0.250 0.500
0.500 0.500 0.000
0.202 0.534 0.000
0.466 0.466 0.668
0.534 0.202 0.000
0.798 0.798 0.332
```